(1)
{"formula": "Hf3PPt", "functional": "PBE-GGA", "state": "optimized geometry", "sg": "Cmcm", "vol_a3_per_cell": 196.34, "total_magnetization_mub_per_fu": 0.001, "dft_energy_ev_per_fu": -46.213, "cell": [[4.506, 3.620, 1.918], [-5.732, -1.844, 0.914], [3.126, -6.901, 5.679]], "species": ["Hf", "Hf", "Hf", "Hf", "Hf", "Hf", "P", "P", "Pt", "Pt"], "frac_coords": [[0.646, 0.354, 0.070], [0.646, 0.354, 0.430], [0.354, 0.646, 0.570], [0.931, 0.069, 0.250], [0.069, 0.931, 0.750], [0.354, 0.646, 0.930], [0.000, 0.000, 0.500], [0.000, 0.000, 0.000], [0.748, 0.252, 0.750], [0.252, 0.748, 0.250]]}


(2)
{"formula": "SrSc2Hg", "functional": "PBE-GGA", "state": "optimized geometry", "sg": "F-43m", "vol_a3_per_cell": 106.98, "total_magnetization_mub_per_fu": 1.862, "dft_energy_ev_per_fu": -14.156, "cell": [[0.729, -3.528, 3.926], [1.791, 1.629, 4.747], [-3.254, -0.001, 4.219]], "species": ["Sc", "Sc", "Hg", "Sr"], "frac_coords": [[0.000, 0.000, 0.000], [0.750, 0.750, 0.750], [0.250, 0.250, 0.250], [0.500, 0.500, 0.500]]}


(3)
{"formula": "SmZn3NiPt", "functional": "PBE-GGA", "state": "optimized geometry", "sg": "P-6m2", "vol_a3_per_cell": 101.64, "total_magnetization_mub_per_fu": 0.000, "dft_energy_ev_per_fu": -23.526, "e_form_ev_per_atom": -0.5661, "cell": [[-2.308, -1.538, 4.488], [1.095, -3.544, -3.752], [3.791, -0.655, 1.725]], "species": ["Zn", "Zn", "Zn", "Pt", "Sm", "Ni"], "frac_coords": [[0.171, 0.342, 0.500], [0.171, 0.829, 0.500], [0.658, 0.829, 0.500], [0.000, 0.000, 0.000], [0.667, 0.333, 0.000], [0.333, 0.667, 0.000]]}


(4)
{"formula": "NaPrHgSe3", "functional": "PBE-GGA", "state": "optimized geometry", "sg": "Pnma", "vol_a3_per_cell": 681.03, "total_magnetization_mub_per_fu": 0.000, "dft_energy_ev_per_fu": -23.517, "relative_energy_mev_per_atom": 0, "cell": [[4.304, 0.000, 0.000], [0.000, 12.420, 0.000], [0.000, 0.000, 12.740]], "species": ["Pr", "Pr", "Pr", "Pr", "Se", "Se", "Se", "Se", "Se", "Se", "Se", "Se", "Se", "Se", "Se", "Se", "Hg", "Hg", "Hg", "Hg", "Na", "Na", "Na", "Na"], "frac_coords": [[0.750, 0.676, 0.047], [0.250, 0.176, 0.453], [0.250, 0.324, 0.953], [0.750, 0.824, 0.547], [0.750, 0.427, 0.080], [0.250, 0.347, 0.722], [0.750, 0.847, 0.778], [0.750, 0.349, 0.441], [0.750, 0.073, 0.580], [0.750, 0.151, 0.941], [0.750, 0.653, 0.278], [0.250, 0.153, 0.222], [0.250, 0.927, 0.420], [0.250, 0.849, 0.059], [0.250, 0.651, 0.559], [0.250, 0.573, 0.920], [0.250, 0.708, 0.763], [0.250, 0.792, 0.263], [0.750, 0.292, 0.237], [0.750, 0.208, 0.737], [0.750, 0.493, 0.633], [0.250, 0.993, 0.867], [0.250, 0.507, 0.367], [0.750, 0.007, 0.133]]}


(5)
{"formula": "RbSbPdS3", "functional": "PBE-GGA", "state": "optimized geometry", "sg": "P2_1/m", "vol_a3_per_cell": 334.12, "dft_energy_ev_per_fu": -25.434, "cell": [[-7.359, -4.510, -2.086], [-0.955, -0.297, 4.010], [-2.409, 9.182, 0.106]], "species": ["Sb", "Sb", "Rb", "Rb", "Pd", "Pd", "S", "S", "S", "S", "S", "S"], "frac_coords": [[0.334, 0.250, 0.869], [0.666, 0.750, 0.131], [0.193, 0.750, 0.242], [0.807, 0.250, 0.758], [0.076, 0.750, 0.583], [0.924, 0.250, 0.417], [0.806, 0.750, 0.450], [0.194, 0.250, 0.550], [0.450, 0.250, 0.145], [0.550, 0.750, 0.855], [0.140, 0.750, 0.870], [0.860, 0.250, 0.130]]}


(6)
{"formula": "GdLuCd", "functional": "PBE-GGA", "state": "optimized geometry", "sg": "F-43m", "vol_a3_per_cell": 91.05, "total_magnetization_mub_per_fu": 0.038, "dft_energy_ev_per_fu": -8.598, "e_form_ev_per_atom": 0.4917, "cell": [[0.343, -4.301, -2.624], [-3.046, -3.876, 1.095], [-3.679, -1.303, -3.204]], "species": ["Cd", "Lu", "Gd"], "frac_coords": [[0.500, 0.500, 0.500], [0.250, 0.250, 0.250], [0.000, 0.000, 0.000]]}


(7)
{"formula": "Co4Re11", "functional": "PBE-GGA", "state": "optimized geometry", "sg": "P4_2/mnm", "vol_a3_per_cell": 418.16, "total_magnetization_mub_per_fu": 1.593, "dft_energy_ev_per_fu": -162.260, "relative_energy_mev_per_atom": 68, "e_form_ev_per_atom": 0.1878, "cell": [[9.184, 0.000, 0.000], [0.000, 9.184, 0.000], [0.000, 0.000, 4.958]], "species": ["Re", "Re", "Re", "Re", "Re", "Re", "Re", "Re", "Re", "Re", "Re", "Re", "Re", "Re", "Re", "Re", "Re", "Re", "Re", "Re", "Re", "Re", "Co", "Co", "Co", "Co", "Co", "Co", "Co", "Co"], "frac_coords": [[0.686, 0.686, 0.749], [0.398, 0.602, 0.500], [0.602, 0.398, 0.500], [0.438, 0.775, 0.000], [0.186, 0.814, 0.751], [0.314, 0.314, 0.749], [0.562, 0.225, 0.000], [0.775, 0.438, 0.000], [0.314, 0.314, 0.251], [0.062, 0.275, 0.500], [0.186, 0.814, 0.249], [0.225, 0.562, 0.000], [0.000, 0.000, 0.500], [0.275, 0.062, 0.500], [0.686, 0.686, 0.251], [0.938, 0.725, 0.500], [0.500, 0.500, 0.000], [0.898, 0.898, 0.000], [0.102, 0.102, 0.000], [0.814, 0.186, 0.249], [0.814, 0.186, 0.751], [0.725, 0.938, 0.500], [0.627, 0.960, 0.000], [0.960, 0.627, 0.000], [0.460, 0.873, 0.500], [0.873, 0.460, 0.500], [0.127, 0.540, 0.500], [0.373, 0.040, 0.000], [0.040, 0.373, 0.000], [0.540, 0.127, 0.500]]}


(8)
{"formula": "Ba2NaPdO6", "functional": "PBE-GGA", "state": "optimized geometry", "sg": "Fm-3m", "vol_a3_per_cell": 140.55, "dft_energy_ev_per_fu": -53.216, "cell": [[0.126, -5.833, -0.149], [-2.659, -3.084, 4.181], [-4.858, -2.993, -1.224]], "species": ["O", "O", "O", "O", "O", "O", "Na", "Ba", "Ba", "Pd"], "frac_coords": [[0.736, 0.264, 0.736], [0.736, 0.736, 0.264], [0.264, 0.264, 0.736], [0.264, 0.736, 0.264], [0.736, 0.264, 0.264], [0.264, 0.736, 0.736], [0.000, 0.000, 0.000], [0.750, 0.750, 0.750], [0.250, 0.250, 0.250], [0.500, 0.500, 0.500]]}